1.
## YInNi2 (PBE)

Data for a relaxed structure of YInNi2.

Summary:
As for the symmetry: Cmcm (63).

abc: 6.605 6.605 5.600
angles: 90.00 90.00 143.05
Positions (direct):
Y1 0.218 0.782 0.750
Y2 0.782 0.218 0.250
In1 0.058 0.942 0.250
In2 0.942 0.058 0.750
Ni1 0.406 0.594 0.038
Ni2 0.406 0.594 0.462
Ni3 0.594 0.406 0.538
Ni4 0.594 0.406 0.962

2.
## YInNi2 (PBE)

Data for a relaxed structure of YInNi2.

Summary:
As for the symmetry: R3m (160).

abc: 5.888 5.888 5.888
angles: 40.76 40.76 40.76
Positions (direct):
Y1 0.000 0.000 0.000
In1 0.807 0.807 0.807
Ni1 0.224 0.224 0.224
Ni2 0.558 0.558 0.558

3.
## Y2InNi (PBE)

Data for a relaxed structure of Y2InNi.

Summary:
As for the symmetry: Amm2 (38).

abc: 4.437 5.992 5.992
angles: 37.51 90.00 90.00
Positions (direct):
Y1 0.000 0.000 0.000
Y2 0.500 0.301 0.301
In1 0.500 0.586 0.586
Ni1 0.000 0.736 0.736

4.
## Y2InNi (PBE)

Data for a relaxed structure of Y2InNi.

Summary:
As for the symmetry: Cmcm (63).

abc: 6.268 6.268 8.841
angles: 90.00 90.00 147.20
Positions (direct):
Y1 0.133 0.867 0.562
Y2 0.133 0.867 0.938
Y3 0.867 0.133 0.062
Y4 0.867 0.133 0.438
In1 0.429 0.571 0.750
In2 0.571 0.429 0.250
Ni1 0.248 0.752 0.250
Ni2 0.752 0.248 0.750

5.
## YIn3Ni (PBE)

Data for a relaxed structure of YIn3Ni.

Summary:
As for the symmetry: Pm-3m (221).

abc: 5.815 5.815 5.815
angles: 90.00 90.00 90.00
Positions (direct):
Y1 0.000 0.000 0.000
In1 0.000 0.000 0.500
In2 0.000 0.500 0.000
In3 0.500 0.000 0.000
Ni1 0.500 0.500 0.500

6.
## Y11In9Ni4 (PBE)

Data for a relaxed structure of Y11In9Ni4.

Summary:
As for the symmetry: Cmmm (65).

abc: 13.052 13.052 3.666
angles: 90.00 90.00 112.62
Positions (direct):
Y1 0.000 0.000 0.000
Y2 0.080 0.416 0.000
Y3 0.161 0.839 0.000
Y4 0.312 0.312 0.000
Y5 0.374 0.626 0.000
Y6 0.416 0.080 0.000
Y7 0.584 0.920 0.000
Y8 0.626 0.374 0.000
Y9 0.688 0.688 0.000
Y10 0.839 0.161 0.000
Y11 0.920 0.584 0.000
In1 0.077 0.219 0.500
In2 0.158 0.631 0.500
In3 0.219 0.077 0.500
In4 0.369 0.842 0.500
In5 0.500 0.500 0.500
In6 0.631 0.158 0.500
In7 0.781 0.923 0.500
In8 0.842 0.369 0.500
In9 0.923 0.781 0.500
Ni1 0.248 0.450 0.500
Ni2 0.450 0.248 0.500
Ni3 0.550 0.752 0.500
Ni4 0.752 0.550 0.500

7.
## YInNi2 (PBE)

Data for a relaxed structure of YInNi2.

Summary:
As for the symmetry: Cm (8).

abc: 5.164 5.164 4.582
angles: 106.61 106.61 37.59
Positions (direct):
Y1 0.000 0.000 0.000
In1 0.777 0.777 0.344
Ni1 0.236 0.236 0.789
Ni2 0.523 0.523 0.520

8.
## Y2InNi (PBE)

Data for a relaxed structure of Y2InNi.

Summary:
As for the symmetry: P4/mmm (123).

abc: 3.468 3.468 7.700
angles: 90.00 90.00 90.00
Positions (direct):
Y1 0.000 0.000 0.215
Y2 0.000 0.000 0.785
In1 0.500 0.500 0.500
Ni1 0.500 0.500 0.000

9.
## Y4InNi (PBE)

Data for a relaxed structure of Y4InNi.

Summary:
As for the symmetry: F-43m (216). The value obtained for the energy above the most stable polymorph in this dataset is 892 meV/atom.

abc: 6.180 6.180 6.180
angles: 60.00 60.00 60.00
Positions (direct):
Y1 0.125 0.125 0.125
Y2 0.125 0.125 0.625
Y3 0.125 0.625 0.125
Y4 0.625 0.125 0.125
In1 0.750 0.750 0.750
Ni1 0.500 0.500 0.500

10.
## YIn2Ni2 (PBE)

Data for a relaxed structure of YIn2Ni2.

Summary:
As for the symmetry: I4/mmm (139). The value obtained for the energy above the most stable polymorph in this dataset is 97 meV/atom.

abc: 5.934 5.934 5.934
angles: 135.40 135.40 64.90
Positions (direct):
Y1 0.000 0.000 0.000
In1 0.361 0.361 0.000
In2 0.639 0.639 0.000
Ni1 0.250 0.750 0.500
Ni2 0.750 0.250 0.500

11.
## YInNi3 (PBE)

Data for a relaxed structure of YInNi3.

Summary:
As for the symmetry: Pm-3m (221). The value obtained for the energy above the most stable polymorph in this dataset is 0 meV/atom.

abc: 4.665 4.665 4.665
angles: 90.00 90.00 90.00
Positions (direct):
Y1 0.000 0.000 0.000
In1 0.500 0.500 0.500
Ni1 0.000 0.500 0.500
Ni2 0.500 0.000 0.500
Ni3 0.500 0.500 0.000

12.
## Y2In2Ni (PBE)

Data for a relaxed structure of Y2In2Ni.

Summary:
As for the symmetry: Cmmm (65). The value obtained for the energy above the most stable polymorph in this dataset is 76 meV/atom.

abc: 7.523 7.523 3.552
angles: 90.00 90.00 144.00
Positions (direct):
Y1 0.108 0.892 0.000
Y2 0.892 0.108 0.000
In1 0.312 0.688 0.500
In2 0.688 0.312 0.500
Ni1 0.500 0.500 0.500

13.
## Y3In3Ni2 (PBE)

Data for a relaxed structure of Y3In3Ni2.

Summary:
As for the symmetry: Pnma (62).

abc: 7.723 16.246 5.782
angles: 90.00 90.00 90.00
Positions (direct):
Y1 0.035 0.110 0.112
Y2 0.035 0.390 0.112
Y3 0.163 0.250 0.653
Y4 0.337 0.750 0.153
Y5 0.465 0.610 0.612
Y6 0.465 0.890 0.612
Y7 0.535 0.110 0.388
Y8 0.535 0.390 0.388
Y9 0.663 0.250 0.847
Y10 0.837 0.750 0.347
Y11 0.965 0.610 0.888
Y12 0.965 0.890 0.888
In1 0.176 0.035 0.611
In2 0.176 0.465 0.611
In3 0.178 0.750 0.652
In4 0.322 0.250 0.152
In5 0.324 0.535 0.111
In6 0.324 0.965 0.111
In7 0.676 0.035 0.889
In8 0.676 0.465 0.889
In9 0.678 0.750 0.848
In10 0.822 0.250 0.348
In11 0.824 0.535 0.389
In12 0.824 0.965 0.389
Ni1 0.116 0.619 0.389
Ni2 0.116 0.881 0.389
Ni3 0.384 0.119 0.889
Ni4 0.384 0.381 0.889
Ni5 0.616 0.619 0.111
Ni6 0.616 0.881 0.111
Ni7 0.884 0.119 0.611
Ni8 0.884 0.381 0.611

14.
## YInNi2 (PBE)

Data for a relaxed structure of YInNi2.

Summary:
As for the symmetry: Imm2 (44).

abc: 5.436 5.436 5.436
angles: 142.58 131.86 62.51
Positions (direct):
Y1 0.000 0.000 0.000
In1 0.723 0.223 0.500
Ni1 0.272 0.772 0.500
Ni2 0.464 0.464 0.000

15.
## YInNi3 (PBE)

Data for a relaxed structure of YInNi3.

Summary:
As for the symmetry: Pm-3m (221). The value obtained for the energy above the most stable polymorph in this dataset is 578 meV/atom.

abc: 4.730 4.730 4.730
angles: 90.00 90.00 90.00
Positions (direct):
Y1 0.000 0.000 0.000
In1 0.500 0.500 0.500
Ni1 0.000 0.000 0.500
Ni2 0.000 0.500 0.000
Ni3 0.500 0.000 0.000

16.
## Y2InNi (PBE)

Data for a relaxed structure of Y2InNi.

Summary:
As for the symmetry: I-4m2 (119).

abc: 5.809 5.809 5.809
angles: 136.20 136.20 63.67
Positions (direct):
Y1 0.000 0.000 0.000
Y2 0.750 0.250 0.500
In1 0.250 0.750 0.500
Ni1 0.500 0.500 0.000

17.
## Y2In2Ni (PBE)

Data for a relaxed structure of Y2In2Ni.

Summary:
As for the symmetry: I4/mmm (139). The value obtained for the energy above the most stable polymorph in this dataset is 384 meV/atom.

abc: 9.108 9.108 9.108
angles: 155.21 155.21 35.34
Positions (direct):
Y1 0.091 0.091 0.000
Y2 0.909 0.909 0.000
In1 0.250 0.750 0.500
In2 0.750 0.250 0.500
Ni1 0.500 0.500 0.000

18.
## YIn2Ni2 (PBE)

Data for a relaxed structure of YIn2Ni2.

Summary:
As for the symmetry: I4/mmm (139). The value obtained for the energy above the most stable polymorph in this dataset is 5 meV/atom.

abc: 10.598 10.598 10.598
angles: 155.85 155.85 34.41
Positions (direct):
Y1 0.136 0.136 0.000
Y2 0.864 0.864 0.000
In1 0.000 0.500 0.500
In2 0.312 0.312 0.000
In3 0.500 0.000 0.500
In4 0.688 0.688 0.000
Ni1 0.250 0.750 0.500
Ni2 0.435 0.435 0.000
Ni3 0.565 0.565 0.000
Ni4 0.750 0.250 0.500

19.
## YInNi (PBE)

Data for a relaxed structure of YInNi.

Summary:
As for the symmetry: P-62m (189).

abc: 6.911 6.911 4.578
angles: 90.00 90.00 120.00
Positions (direct):
Y1 0.000 0.550 0.000
Y2 0.450 0.450 0.000
Y3 0.550 0.000 0.000
In1 0.000 0.000 0.000
In2 0.333 0.667 0.500
In3 0.667 0.333 0.500
Ni1 0.000 0.220 0.500
Ni2 0.220 0.000 0.500
Ni3 0.780 0.780 0.500

20.
## YIn3Ni (PBE)

Data for a relaxed structure of YIn3Ni.

Summary:
As for the symmetry: Pm-3m (221).

abc: 4.930 4.930 4.930
angles: 90.00 90.00 90.00
Positions (direct):
Y1 0.000 0.000 0.000
In1 0.000 0.500 0.500
In2 0.500 0.000 0.500
In3 0.500 0.500 0.000
Ni1 0.500 0.500 0.500

21.
## YInNi5 (PBE)

Data for a relaxed structure of YInNi5.

Summary:
As for the symmetry: Pnma (62).

abc: 8.096 4.848 10.313
angles: 90.00 90.00 90.00
Positions (direct):
Y1 0.250 0.250 0.061
Y2 0.250 0.750 0.561
Y3 0.750 0.250 0.439
Y4 0.750 0.750 0.939
In1 0.138 0.250 0.363
In2 0.362 0.750 0.863
In3 0.638 0.250 0.137
In4 0.862 0.750 0.637
Ni1 0.047 0.250 0.606
Ni2 0.067 0.501 0.811
Ni3 0.067 0.999 0.811
Ni4 0.083 0.750 0.017
Ni5 0.189 0.750 0.241
Ni6 0.311 0.250 0.741
Ni7 0.417 0.250 0.517
Ni8 0.433 0.001 0.311
Ni9 0.433 0.499 0.311
Ni10 0.453 0.750 0.106
Ni11 0.547 0.250 0.894
Ni12 0.567 0.501 0.689
Ni13 0.567 0.999 0.689
Ni14 0.583 0.750 0.483
Ni15 0.689 0.750 0.259
Ni16 0.811 0.250 0.759
Ni17 0.917 0.250 0.983
Ni18 0.933 0.001 0.189
Ni19 0.933 0.499 0.189
Ni20 0.953 0.750 0.394

22.
## YIn2Ni2 (PBE)

Data for a relaxed structure of YIn2Ni2.

Summary:
As for the symmetry: P4/mbm (127). The value obtained for the energy above the most stable polymorph in this dataset is 81 meV/atom.

abc: 7.613 7.613 3.193
angles: 90.00 90.00 90.00
Positions (direct):
Y1 0.000 0.000 0.000
Y2 0.500 0.500 0.000
In1 0.158 0.342 0.500
In2 0.342 0.842 0.500
In3 0.658 0.158 0.500
In4 0.842 0.658 0.500
Ni1 0.132 0.632 0.000
Ni2 0.368 0.132 0.000
Ni3 0.632 0.868 0.000
Ni4 0.868 0.368 0.000

23.
## Y2InNi (PBE)

Data for a relaxed structure of Y2InNi.

Summary:
As for the symmetry: P4mm (99).

abc: 3.363 3.363 8.396
angles: 90.00 90.00 90.00
Positions (direct):
Y1 0.000 0.000 0.000
Y2 0.500 0.500 0.353
In1 0.000 0.000 0.622
Ni1 0.500 0.500 0.798

Fermi-level density of states for every record listed, in sequence, given in states/eV/cell: 4.31; 5.17; 3.60; 6.26; 8.94; 15.25; 3.08; 3.30; 6.08; 3.87; 4.72; 5.26; 21.69; 2.60; 3.86; 4.06; 5.13; 8.04; 10.21; 3.94; 32.09; 9.56; 4.12.
DFT formation energy for every record listed, in sequence, given in eV per atom: -0.304; -0.280; -0.346; -0.353; 1.222; -0.539; -0.183; -0.435; 0.522; -0.188; 0.470; -0.215; -0.440; -0.183; 1.048; -0.171; 0.094; -0.281; -0.275; -0.141; -0.322; -0.204; -0.206.